# BaYCd

A PBEsol-optimized structure of BaYCd (meta-GGA SCAN, the Alexandria database).

Lattice parameters (Å, degrees): 7.459 7.459 7.459 90.00 90.00 90.00
Space group F-43m (No. 216)
Inequivalent atoms, fractional coordinates:
Ba: 0.000 0.000 0.000 (multiplicity 4)
Y: 0.250 0.250 0.750 (multiplicity 4)
Cd: 0.000 0.000 0.500 (multiplicity 4)

Computed properties:
N(E_F) (states/eV/cell): 11.0
V (A^3/atom): 34.579
Total DFT energy (no corrections) (eV per atom): -32.287
Energy of formation from the pure elements (eV/atom): 0.315
ΔE to the lowest computed polymorph (eV/atom): 0.330

=====

# Ba2ZnCd

A PBEsol-optimized structure of Ba2ZnCd (meta-GGA SCAN, the Alexandria database).

Lattice parameters (Å, degrees): 4.087 5.779 5.779 90.00 90.00 90.00
Space group Pmm2 (No. 25)
Inequivalent atoms, fractional coordinates:
Ba: 0.000 0.000 0.000 (multiplicity 1)
Ba: 0.000 0.500 0.499 (multiplicity 1)
Zn: 0.500 0.000 0.500 (multiplicity 1)
Cd: 0.500 0.500 0.999 (multiplicity 1)

Computed properties:
N(E_F) (states/eV/cell): 2.9
V (A^3/atom): 34.120
Total DFT energy (no corrections) (eV per atom): -31.025
Energy of formation from the pure elements (eV/atom): -0.267
ΔE to the lowest computed polymorph (eV/atom): 0.000

=====

# Ba2ZnCd

A PBEsol-optimized structure of Ba2ZnCd (meta-GGA SCAN, the Alexandria database).

Lattice parameters (Å, degrees): 12.834 3.940 5.742 90.00 116.47 90.00
Space group Cm (No. 8)
Inequivalent atoms, fractional coordinates:
Ba: 0.000 0.000 0.000 (multiplicity 2)
Ba: 0.189 0.000 0.688 (multiplicity 2)
Zn: 0.251 0.500 0.249 (multiplicity 2)
Cd: 0.415 0.000 0.415 (multiplicity 2)

Computed properties:
N(E_F) (states/eV/cell): 7.1
V (A^3/atom): 32.490
Total DFT energy (no corrections) (eV per atom): -30.977
Energy of formation from the pure elements (eV/atom): -0.220
ΔE to the lowest computed polymorph (eV/atom): 0.048